Record 1
DFT (PBE-GGA) results for a relaxed TlAgTe3W crystal.

Values from the calculation:
total moment = 3.1 μB per cell
space-group type = No. 63
theoretical density = 8.82 g/cm3
E_tot = -4.45 eV/atom

Cell: 8.2514 8.2514 10.8457 Å, 90.00 90.00 153.38°
Closest atoms and distances in Å follow each position.
Positions (direct):
Tl (0.2398, 0.7602, 0.7500)  2 Ag 3.49, 8 Te 3.59-3.63, 2 Tl 3.80
Tl (0.7602, 0.2398, 0.2500)  2 Ag 3.49, 8 Te 3.59-3.63, 2 Tl 3.80
Ag (0.4427, 0.5573, 0.2500)  4 Te 2.73-2.80
Ag (0.5573, 0.4427, 0.7500)  4 Te 2.73-2.80
Te (0.0707, 0.9293, 0.2500)  2 Ag 2.80, 2 W 2.94
Te (0.3723, 0.6277, 0.0213)  1 Ag 2.73, 2 W 2.81
Te (0.3723, 0.6277, 0.4787)  1 Ag 2.73, 2 W 2.81
Te (0.6277, 0.3723, 0.5213)  1 Ag 2.73, 2 W 2.81
Te (0.6277, 0.3723, 0.9787)  1 Ag 2.73, 2 W 2.81
Te (0.9293, 0.0707, 0.7500)  2 Ag 2.80, 2 W 2.94
W (0.0000, 0.0000, 0.0000)  6 Te 2.81-2.94
W (0.0000, 0.0000, 0.5000)  6 Te 2.81-2.94


Record 2
DFT (PBE-GGA) results for a relaxed PmSbAsO crystal.

Values from the calculation:
total moment = 0.0 μB per cell
energy relative to the lowest polymorph listed for this composition = 175 meV/atom
space-group type = No. 26
theoretical density = 5.83 g/cm3
E_tot = -5.82 eV/atom

Cell: 4.1179 8.0645 6.1321 Å, 90.00 90.00 90.00°
Closest atoms and distances in Å follow each position.
Positions (direct):
Pm (0.0000, 0.1935, 0.0000)  2 O 2.22
Pm (0.0000, 0.8065, 0.5000)  2 O 2.22
Sb (0.5000, 0.3865, 0.5827)  1 O 2.16
Sb (0.5000, 0.6135, 0.0827)  1 O 2.16
As (0.0000, 0.1726, 0.4875)  2 Sb 2.75, 2 Pm 2.95-2.99
As (0.0000, 0.8274, 0.9875)  2 Sb 2.75, 2 Pm 2.95-2.99
O (0.5000, 0.2544, 0.8889)  1 Sb 2.16, 2 Pm 2.22
O (0.5000, 0.7456, 0.3889)  1 Sb 2.16, 2 Pm 2.22


Record 3
DFT (PBE-GGA) results for a relaxed Hf2ZrAs crystal.

Values from the calculation:
total moment = 0.0 μB per cell
space-group type = No. 156
theoretical density = 9.68 g/cm3
E_tot = -8.47 eV/atom

Cell: 3.4292 3.4292 8.8073 Å, 90.00 90.00 120.00°
Closest atoms and distances in Å follow each position.
Positions (direct):
Hf (0.0000, 0.0000, 0.0000)  3 As 2.63, 1 Zr 2.91
Hf (0.3333, 0.6667, 0.3995)  3 As 2.67
Zr (0.0000, 0.0000, 0.6693)  4 Hf 2.91-3.09
As (0.6667, 0.3333, 0.1960)  6 Hf 2.63-2.67


Record 4
DFT (PBE-GGA) results for a relaxed Gd2HoIn3CuIr2 crystal.

Values from the calculation:
total moment = 0.0 μB per cell
space-group type = No. 38
theoretical density = 10.98 g/cm3
E_tot = -5.46 eV/atom

Cell: 3.8712 7.5662 7.5662 Å, 119.75 90.00 90.00°
Closest atoms and distances in Å follow each position.
Positions (direct):
Gd (0.0000, 0.2060, 0.7940)  4 Ir 3.00-3.01, 1 Cu 3.12, 6 In 3.19-3.35
Gd (0.0000, 0.7940, 0.2060)  4 Ir 3.00-3.01, 1 Cu 3.12, 6 In 3.19-3.35
Ho (0.0000, 0.6171, 0.6171)  4 Ir 2.98, 1 Cu 3.12, 2 In 3.19
In (0.5000, 0.2068, 0.4599)  2 Cu 2.72, 2 Ir 2.86-2.90
In (0.5000, 0.4599, 0.2068)  2 Cu 2.72, 2 Ir 2.86-2.90
In (0.5000, 0.9512, 0.9512)  2 Cu 2.74, 2 Ir 2.86
Cu (0.0000, 0.2066, 0.2066)  6 In 2.72-2.74
Ir (0.5000, 0.5395, 0.8697)  3 In 2.86-2.90, 2 Ho 2.98, 4 Gd 3.00-3.01
Ir (0.5000, 0.8697, 0.5395)  3 In 2.86-2.90, 2 Ho 2.98, 4 Gd 3.00-3.01


Record 5
DFT (PBE-GGA) results for a relaxed Li5NbRe crystal.

Values from the calculation:
total moment = 0.1 μB per cell
space-group type = No. 44
theoretical density = 4.08 g/cm3
E_tot = -3.73 eV/atom

Cell: 5.8685 5.8685 5.8685 Å, 133.02 82.96 116.12°
Closest atoms and distances in Å follow each position.
Positions (direct):
Li (0.0000, 0.0000, 0.0000)  4 Li 2.16-2.32, 1 Re 2.34
Li (0.1471, 0.8942, 0.2528)  3 Li 2.32-2.52
Li (0.2822, 0.0109, 0.7287)  2 Li 2.14-2.16
Li (0.2822, 0.5535, 0.2713)  2 Li 2.14-2.16
Li (0.6414, 0.8942, 0.7472)  3 Li 2.32-2.52
Nb (0.7349, 0.2349, 0.5000)  2 Re 2.44
Re (0.6229, 0.6229, 0.0000)  3 Li 2.34-2.47, 2 Nb 2.44


Record 6
DFT (PBE-GGA) results for a relaxed PrHoPO crystal.

Values from the calculation:
total moment = 0.0 μB per cell
energy relative to the lowest polymorph listed for this composition = 0 meV/atom
space-group type = No. 26
theoretical density = 6.10 g/cm3
E_tot = -6.93 eV/atom

Cell: 4.3382 7.4050 5.9839 Å, 90.00 90.00 90.00°
Closest atoms and distances in Å follow each position.
Positions (direct):
Pr (0.0000, 0.1970, 0.0000)  2 O 2.45
Pr (0.0000, 0.8030, 0.5000)  2 O 2.45
Ho (0.5000, 0.3819, 0.5719)  2 O 2.20
Ho (0.5000, 0.6181, 0.0719)  2 O 2.20
P (0.0000, 0.1831, 0.4962)  2 Ho 2.66, 2 Pr 2.81-2.97
P (0.0000, 0.8169, 0.9962)  2 Ho 2.66, 2 Pr 2.81-2.97
O (0.5000, 0.3426, 0.9364)  2 Ho 2.20, 2 Pr 2.45
O (0.5000, 0.6574, 0.4364)  2 Ho 2.20, 2 Pr 2.45


Record 7
DFT (PBE-GGA) results for a relaxed SmReAsO crystal.

Values from the calculation:
total moment = 0.0 μB per cell
energy relative to the lowest polymorph listed for this composition = 450 meV/atom
space-group type = No. 26
theoretical density = 10.59 g/cm3
E_tot = -7.82 eV/atom

Cell: 3.9878 4.4133 7.6182 Å, 90.00 90.00 90.00°
Closest atoms and distances in Å follow each position.
Positions (direct):
Sm (0.0000, 0.2466, 0.0000)  3 O 2.54-2.55
Sm (0.0000, 0.7534, 0.5000)  3 O 2.54-2.55
Re (0.5000, 0.2551, 0.3335)  2 O 1.99
Re (0.5000, 0.7449, 0.8335)  2 O 1.99
As (0.5000, 0.2456, 0.6674)  3 Re 2.54-2.55
As (0.5000, 0.7544, 0.1674)  3 Re 2.54-2.55
O (0.0000, 0.2556, 0.3334)  2 Re 1.99
O (0.0000, 0.7444, 0.8334)  2 Re 1.99


Record 8
DFT (PBE-GGA) results for a relaxed SmInNiTe3 crystal.

Values from the calculation:
total moment = 0.0 μB per cell
space-group type = No. 63
theoretical density = 6.73 g/cm3
E_tot = -4.37 eV/atom

Cell: 7.8558 7.8558 11.2749 Å, 90.00 90.00 149.91°
Closest atoms and distances in Å follow each position.
Positions (direct):
Sm (0.0000, 0.0000, 0.0000)  6 Te 3.07-3.10
Sm (0.0000, 0.0000, 0.5000)  6 Te 3.07-3.10
In (0.2476, 0.7524, 0.7500)  6 Te 3.22-3.31
In (0.7524, 0.2476, 0.2500)  6 Te 3.22-3.31
Ni (0.4739, 0.5261, 0.2500)  4 Te 2.59-2.60
Ni (0.5261, 0.4739, 0.7500)  4 Te 2.59-2.60
Te (0.0804, 0.9196, 0.2500)  2 Ni 2.60
Te (0.3581, 0.6419, 0.0813)  1 Ni 2.59
Te (0.3581, 0.6419, 0.4187)  1 Ni 2.59
Te (0.6419, 0.3581, 0.5813)  1 Ni 2.59
Te (0.6419, 0.3581, 0.9187)  1 Ni 2.59
Te (0.9196, 0.0804, 0.7500)  2 Ni 2.60


Record 9
DFT (PBE-GGA) results for a relaxed LaSmSi2Cl2 crystal.

Values from the calculation:
total moment = 0.0 μB per cell
space-group type = No. 156
theoretical density = 4.34 g/cm3
E_tot = -5.47 eV/atom

Cell: 4.0939 4.0939 10.9870 Å, 90.00 90.00 120.00°
Closest atoms and distances in Å follow each position.
Positions (direct):
La (0.0000, 0.0000, 0.0000)  3 Cl 2.94, 6 Si 3.09-3.21
Sm (0.0000, 0.0000, 0.6307)  3 Cl 2.88, 6 Si 3.03-3.14
Si (0.3333, 0.6667, 0.8026)  3 Si 2.37
Si (0.6667, 0.3333, 0.8189)  3 Si 2.37
Cl (0.3333, 0.6667, 0.1593)  3 La 2.94
Cl (0.6667, 0.3333, 0.4804)  3 Sm 2.88


Record 10
DFT (PBE-GGA) results for a relaxed NaAs5Pt3 crystal.

Values from the calculation:
total moment = 0.0 μB per cell
space-group type = No. 191
theoretical density = 7.81 g/cm3
E_tot = -4.79 eV/atom

Cell: 5.8186 5.8186 7.1235 Å, 90.00 90.00 120.00°
Closest atoms and distances in Å follow each position.
Positions (direct):
Na (0.0000, 0.0000, 0.0000)  14 As 3.56-3.75
As (0.0000, 0.0000, 0.5000)  6 Pt 2.91
As (0.3333, 0.6667, 0.2330)  3 Pt 2.54
As (0.3333, 0.6667, 0.7670)  3 Pt 2.54
As (0.6667, 0.3333, 0.2330)  3 Pt 2.54
As (0.6667, 0.3333, 0.7670)  3 Pt 2.54
Pt (0.0000, 0.5000, 0.5000)  4 As 2.54
Pt (0.5000, 0.0000, 0.5000)  4 As 2.54
Pt (0.5000, 0.5000, 0.5000)  4 As 2.54


Record 11
DFT (PBE-GGA) results for a relaxed GaAgTeSe crystal.

Values from the calculation:
energy relative to the lowest polymorph listed for this composition = 0 meV/atom
space-group type = No. 9
theoretical density = 5.61 g/cm3
E_tot = -3.49 eV/atom

Cell: 6.2442 6.2442 7.2444 Å, 114.74 114.74 90.03°
Closest atoms and distances in Å follow each position.
Positions (direct):
Ga (0.1136, 0.8864, 0.5000)  2 Se 2.47-2.48, 2 Te 2.65-2.66
Ga (0.8864, 0.1136, 0.0000)  2 Se 2.47-2.48, 2 Te 2.65-2.66
Ag (0.3472, 0.6134, 0.0005)  2 Se 2.68, 2 Te 2.79-2.80
Ag (0.6134, 0.3472, 0.5005)  2 Se 2.68, 2 Te 2.79-2.80
Te (0.4923, 0.7635, 0.7502)  2 Ga 2.65-2.66, 2 Ag 2.79-2.80
Te (0.7635, 0.4923, 0.2502)  2 Ga 2.65-2.66, 2 Ag 2.79-2.80
Se (0.2169, 0.9927, 0.2500)  2 Ga 2.47-2.48, 2 Ag 2.68
Se (0.9927, 0.2169, 0.7500)  2 Ga 2.47-2.48, 2 Ag 2.68


Record 12
DFT (PBE-GGA) results for a relaxed Lu2MgIn crystal.

Values from the calculation:
total moment = 0.0 μB per cell
energy relative to the lowest polymorph listed for this composition = 24 meV/atom
space-group type = No. 216
theoretical density = 7.89 g/cm3
E_tot = -3.36 eV/atom

Cell: 5.2597 5.2597 5.2597 Å, 60.00 60.00 60.00°
Closest atoms and distances in Å follow each position.
Positions (direct):
Lu (0.0000, 0.0000, 0.0000)  4 Mg 3.22, 4 Lu 3.22
Lu (0.2500, 0.2500, 0.2500)  4 In 3.22, 4 Lu 3.22
Mg (0.7500, 0.7500, 0.7500)  4 Lu 3.22, 4 In 3.22
In (0.5000, 0.5000, 0.5000)  4 Mg 3.22, 4 Lu 3.22